A plane-wave DFT calculation with PBE was carried out for a relaxed Pm3MgTl crystal.

Space group ... Cmcm, No. 63
DOS at the Fermi energy ... 12.380 states/eV per cell
Calculated formation energy ... -0.1830 eV per atom
M_tot ... 0.00 μB/cell
ΔE to the lowest computed polymorph ... 0.00 eV per formula unit

Cell lengths 11.4685, 11.4685, 5.1982 Å; angles 90.00, 90.00, 153.80 degrees
Last column: nearest neighbours and their distance in Å.
Fractional positions:
Pm 0.0562 0.9438 0.7500  2 Mg 3.38, 2 Tl 3.41, 8 Pm 3.61-3.68
Pm 0.2496 0.7504 0.7500  4 Tl 3.36-3.37, 4 Mg 3.38-3.39, 4 Pm 3.68
Pm 0.4413 0.5587 0.7500  2 Mg 3.35, 2 Tl 3.37, 8 Pm 3.65-3.69
Pm 0.5587 0.4413 0.2500  2 Mg 3.35, 2 Tl 3.37, 8 Pm 3.65-3.69
Pm 0.7504 0.2496 0.2500  4 Tl 3.36-3.37, 4 Mg 3.38-3.39, 4 Pm 3.68
Pm 0.9438 0.0562 0.2500  2 Mg 3.38, 2 Tl 3.41, 8 Pm 3.61-3.68
Mg 0.1532 0.8468 0.2500  8 Pm 3.35-3.39, 4 Tl 3.68
Mg 0.8468 0.1532 0.7500  8 Pm 3.35-3.39, 4 Tl 3.68
Tl 0.3453 0.6547 0.2500  8 Pm 3.36-3.41, 4 Mg 3.68
Tl 0.6547 0.3453 0.7500  8 Pm 3.36-3.41, 4 Mg 3.68

A plane-wave DFT calculation with PBE was carried out for a relaxed Pm3MgTl crystal.

Space group ... Pnma, No. 62
DOS at the Fermi energy ... 22.978 states/eV per cell
Calculated formation energy ... -0.0920 eV per atom
M_tot ... 0.00 μB/cell
ΔE to the lowest computed polymorph ... 0.45 eV per formula unit

Cell lengths 6.6059, 9.8853, 9.5320 Å; angles 90.00, 90.00, 90.00 degrees
Last column: nearest neighbours and their distance in Å.
Fractional positions:
Pm 0.0983 0.0663 0.1761  2 Tl 3.21-3.22, 1 Mg 3.35, 2 Pm 3.59
Pm 0.0983 0.4337 0.1761  2 Tl 3.21-3.22, 1 Mg 3.35, 2 Pm 3.59
Pm 0.2419 0.2500 0.8574  2 Tl 3.30, 3 Mg 3.47-3.65, 2 Pm 3.66
Pm 0.2581 0.7500 0.3574  2 Tl 3.30, 3 Mg 3.47-3.65, 2 Pm 3.66
Pm 0.4017 0.5663 0.6761  2 Tl 3.21-3.22, 1 Mg 3.35, 2 Pm 3.59
Pm 0.4017 0.9337 0.6761  2 Tl 3.21-3.22, 1 Mg 3.35, 2 Pm 3.59
Pm 0.5983 0.0663 0.3239  2 Tl 3.21-3.22, 1 Mg 3.35, 2 Pm 3.59
Pm 0.5983 0.4337 0.3239  2 Tl 3.21-3.22, 1 Mg 3.35, 2 Pm 3.59
Pm 0.7419 0.2500 0.6426  2 Tl 3.30, 3 Mg 3.47-3.65, 2 Pm 3.66
Pm 0.7581 0.7500 0.1426  2 Tl 3.30, 3 Mg 3.47-3.65, 2 Pm 3.66
Pm 0.9017 0.5663 0.8239  2 Tl 3.21-3.22, 1 Mg 3.35, 2 Pm 3.59
Pm 0.9017 0.9337 0.8239  2 Tl 3.21-3.22, 1 Mg 3.35, 2 Pm 3.59
Mg 0.2494 0.7500 0.9939  2 Tl 2.98
Mg 0.2506 0.2500 0.4939  2 Tl 2.98
Mg 0.7494 0.7500 0.5061  2 Tl 2.98
Mg 0.7506 0.2500 0.0061  2 Tl 2.98
Tl 0.0000 0.0000 0.5000  2 Mg 2.98, 6 Pm 3.21-3.30
Tl 0.0000 0.5000 0.5000  2 Mg 2.98, 6 Pm 3.21-3.30
Tl 0.5000 0.0000 0.0000  2 Mg 2.98, 6 Pm 3.21-3.30
Tl 0.5000 0.5000 0.0000  2 Mg 2.98, 6 Pm 3.21-3.30

A plane-wave DFT calculation with PBE was carried out for a relaxed Pm2Mg3Tl4 crystal.

Space group ... Cmce, No. 64
DOS at the Fermi energy ... 11.786 states/eV per cell
Calculated formation energy ... -0.2105 eV per atom
M_tot ... 0.00 μB/cell

Cell lengths 9.0313, 9.0313, 8.5891 Å; angles 90.00, 90.00, 137.48 degrees
Last column: nearest neighbours and their distance in Å.
Fractional positions:
Pm 0.1066 0.8934 0.9101  8 Tl 3.42-3.79, 4 Mg 3.54-3.81
Pm 0.3934 0.6066 0.4101  8 Tl 3.42-3.79, 4 Mg 3.54-3.81
Pm 0.6066 0.3934 0.5899  8 Tl 3.42-3.79, 4 Mg 3.54-3.81
Pm 0.8934 0.1066 0.0899  8 Tl 3.42-3.79, 4 Mg 3.54-3.81
Mg 0.0000 0.0000 0.5000  6 Tl 2.84-3.00
Mg 0.0245 0.4755 0.7500  5 Tl 2.92-3.04
Mg 0.4755 0.0245 0.2500  5 Tl 2.92-3.04
Mg 0.5000 0.5000 0.0000  6 Tl 2.84-3.00
Mg 0.5245 0.9755 0.7500  5 Tl 2.92-3.04
Mg 0.9755 0.5245 0.2500  5 Tl 2.92-3.04
Tl 0.1771 0.8229 0.5331  5 Mg 2.97-3.04
Tl 0.1979 0.3021 0.7500  3 Mg 2.84-2.92
Tl 0.3021 0.1979 0.2500  3 Mg 2.84-2.92
Tl 0.3229 0.6771 0.0331  5 Mg 2.97-3.04
Tl 0.6771 0.3229 0.9669  5 Mg 2.97-3.04
Tl 0.6979 0.8021 0.7500  3 Mg 2.84-2.92
Tl 0.8021 0.6979 0.2500  3 Mg 2.84-2.92
Tl 0.8229 0.1771 0.4669  5 Mg 2.97-3.04

A plane-wave DFT calculation with PBE was carried out for a relaxed Pm2Mg5Tl4 crystal.

Space group ... Fmmm, No. 69
DOS at the Fermi energy ... 6.629 states/eV per cell
Calculated formation energy ... -0.0633 eV per atom
M_tot ... 0.00 μB/cell

Cell lengths 10.9824, 10.3042, 5.8478 Å; angles 80.56, 67.75, 31.69 degrees
Last column: nearest neighbours and their distance in Å.
Fractional positions:
Pm 0.0996 0.0996 0.9004  6 Tl 3.42-3.57, 6 Mg 3.52-3.70
Pm 0.9004 0.9004 0.0996  6 Tl 3.42-3.57, 6 Mg 3.52-3.70
Mg 0.0000 0.0000 0.5000  4 Mg 2.92-3.14, 4 Tl 3.15
Mg 0.2500 0.2500 0.2500  4 Tl 2.94, 2 Mg 3.14
Mg 0.5000 0.5000 0.0000  4 Mg 2.92-3.14, 4 Tl 3.15
Mg 0.5000 0.5000 0.5000  4 Mg 2.92, 4 Tl 3.02
Mg 0.7500 0.7500 0.7500  4 Tl 2.94, 2 Mg 3.14
Tl 0.2089 0.5280 0.4720  5 Mg 2.94-3.15, 1 Tl 3.15
Tl 0.4720 0.7911 0.2089  5 Mg 2.94-3.15, 1 Tl 3.15
Tl 0.5280 0.2089 0.7911  5 Mg 2.94-3.15, 1 Tl 3.15
Tl 0.7911 0.4720 0.5280  5 Mg 2.94-3.15, 1 Tl 3.15

A plane-wave DFT calculation with PBE was carried out for a relaxed Pm2Mg3Tl crystal.

Space group ... Pmm2, No. 25
DOS at the Fermi energy ... 5.441 states/eV per cell
Calculated formation energy ... -0.1741 eV per atom
M_tot ... 0.00 μB/cell
ΔE to the lowest computed polymorph ... 0.06 eV per formula unit

Cell lengths 3.5141, 5.1836, 8.9573 Å; angles 90.00, 90.00, 90.00 degrees
Last column: nearest neighbours and their distance in Å.
Fractional positions:
Pm 0.0000 0.0000 0.0000  10 Mg 3.43-3.50, 2 Tl 3.45, 2 Pm 3.51
Pm 0.0000 0.5000 0.4900  4 Tl 3.44, 8 Mg 3.46-3.51, 2 Pm 3.51
Mg 0.5000 0.0000 0.6661  2 Mg 2.96, 1 Tl 3.00
Mg 0.5000 0.5000 0.1571  1 Mg 2.97, 2 Tl 3.03
Mg 0.5000 0.5000 0.8258  3 Mg 2.96-2.97
Tl 0.5000 0.0000 0.3315  3 Mg 3.00-3.03

A plane-wave DFT calculation with PBE was carried out for a relaxed Pm3MgTl2 crystal.

Space group ... P-3m1, No. 164
DOS at the Fermi energy ... 11.840 states/eV per cell
Calculated formation energy ... -0.3056 eV per atom
M_tot ... 0.00 μB/cell
ΔE to the lowest computed polymorph ... 0.00 eV per formula unit

Cell lengths 5.4765, 5.4765, 13.4248 Å; angles 90.00, 90.00, 120.00 degrees
Last column: nearest neighbours and their distance in Å.
Fractional positions:
Pm 0.0000 0.0000 0.2484  5 Tl 3.31-3.38, 3 Mg 3.35
Pm 0.0000 0.0000 0.7516  5 Tl 3.31-3.38, 3 Mg 3.35
Pm 0.3333 0.6667 0.4193  4 Tl 3.26-3.34, 4 Mg 3.35-3.37
Pm 0.3333 0.6667 0.9193  7 Tl 3.34-3.46, 1 Mg 3.37
Pm 0.6667 0.3333 0.0807  7 Tl 3.34-3.46, 1 Mg 3.37
Pm 0.6667 0.3333 0.5807  4 Tl 3.26-3.34, 4 Mg 3.35-3.37
Mg 0.3333 0.6667 0.6685  8 Pm 3.35-3.37
Mg 0.6667 0.3333 0.3315  8 Pm 3.35-3.37
Tl 0.0000 0.0000 0.0000  8 Pm 3.33-3.34
Tl 0.0000 0.0000 0.5000  8 Pm 3.34-3.38
Tl 0.3333 0.6667 0.1767  8 Pm 3.26-3.46
Tl 0.6667 0.3333 0.8233  8 Pm 3.26-3.46

A plane-wave DFT calculation with PBE was carried out for a relaxed Pm4Mg3Tl crystal.

Space group ... R-3m, No. 166
DOS at the Fermi energy ... 9.465 states/eV per cell
Calculated formation energy ... -0.1836 eV per atom
M_tot ... 0.00 μB/cell

Cell lengths 9.4829, 9.4829, 9.4829 Å; angles 33.47, 33.47, 33.47 degrees
Last column: nearest neighbours and their distance in Å.
Fractional positions:
Pm 0.1246 0.1246 0.1246  5 Mg 3.34-3.43, 3 Tl 3.35
Pm 0.3748 0.3748 0.3748  7 Mg 3.28-3.34, 1 Tl 3.36
Pm 0.6252 0.6252 0.6252  7 Mg 3.28-3.34, 1 Tl 3.36
Pm 0.8754 0.8754 0.8754  5 Mg 3.34-3.43, 3 Tl 3.35
Mg 0.0000 0.0000 0.0000  8 Pm 3.34
Mg 0.2524 0.2524 0.2524  8 Pm 3.28-3.43
Mg 0.7476 0.7476 0.7476  8 Pm 3.28-3.43
Tl 0.5000 0.5000 0.5000  8 Pm 3.35-3.36

A plane-wave DFT calculation with PBE was carried out for a relaxed Pm3Mg2Tl6 crystal.

Space group ... I4/mmm, No. 139
DOS at the Fermi energy ... 4.704 states/eV per cell
Calculated formation energy ... -0.1625 eV per atom
M_tot ... 0.00 μB/cell

Cell lengths 14.4093, 14.4093, 14.4093 Å; angles 161.18, 161.18, 26.73 degrees
Last column: nearest neighbours and their distance in Å.
Fractional positions:
Pm 0.0000 0.0000 0.0000  8 Mg 3.59, 8 Tl 3.83
Pm 0.1947 0.1947 0.0000  9 Tl 3.15-3.39
Pm 0.8053 0.8053 0.0000  9 Tl 3.15-3.39
Mg 0.4526 0.4526 0.0000  1 Mg 2.66, 4 Tl 2.90
Mg 0.5474 0.5474 0.0000  1 Mg 2.66, 4 Tl 2.90
Tl 0.1077 0.6077 0.5000  2 Mg 2.90
Tl 0.3069 0.3069 0.0000  5 Pm 3.15-3.33, 4 Tl 3.36
Tl 0.3923 0.8923 0.5000  2 Mg 2.90
Tl 0.6077 0.1077 0.5000  2 Mg 2.90
Tl 0.6931 0.6931 0.0000  5 Pm 3.15-3.33, 4 Tl 3.36
Tl 0.8923 0.3923 0.5000  2 Mg 2.90

A plane-wave DFT calculation with PBE was carried out for a relaxed Pm2MgTl crystal.

Space group ... Fm-3m, No. 225
DOS at the Fermi energy ... 16.656 states/eV per cell
Calculated formation energy ... -0.2609 eV per atom
M_tot ... 0.00 μB/cell
ΔE to the lowest computed polymorph ... 0.00 eV per formula unit

Cell lengths 7.7326, 7.7326, 7.7326 Å; angles 90.00, 90.00, 90.00 degrees
Last column: nearest neighbours and their distance in Å.
Fractional positions:
Pm 0.2500 0.2500 0.2500  4 Tl 3.35, 4 Mg 3.35
Pm 0.2500 0.2500 0.7500  4 Tl 3.35, 4 Mg 3.35
Pm 0.2500 0.7500 0.2500  4 Tl 3.35, 4 Mg 3.35
Pm 0.2500 0.7500 0.7500  4 Tl 3.35, 4 Mg 3.35
Pm 0.7500 0.2500 0.2500  4 Tl 3.35, 4 Mg 3.35
Pm 0.7500 0.2500 0.7500  4 Tl 3.35, 4 Mg 3.35
Pm 0.7500 0.7500 0.2500  4 Tl 3.35, 4 Mg 3.35
Pm 0.7500 0.7500 0.7500  4 Tl 3.35, 4 Mg 3.35
Mg 0.0000 0.0000 0.0000  8 Pm 3.35
Mg 0.0000 0.5000 0.5000  8 Pm 3.35
Mg 0.5000 0.0000 0.5000  8 Pm 3.35
Mg 0.5000 0.5000 0.0000  8 Pm 3.35
Tl 0.0000 0.0000 0.5000  8 Pm 3.35
Tl 0.0000 0.5000 0.0000  8 Pm 3.35
Tl 0.5000 0.0000 0.0000  8 Pm 3.35
Tl 0.5000 0.5000 0.5000  8 Pm 3.35

A plane-wave DFT calculation with PBE was carried out for a relaxed Pm3Mg4Tl2 crystal.

Space group ... C2/m, No. 12
DOS at the Fermi energy ... 5.387 states/eV per cell
Calculated formation energy ... -0.2320 eV per atom
M_tot ... 0.00 μB/cell

Cell lengths 6.2216, 6.2216, 9.6230 Å; angles 116.63, 116.63, 48.41 degrees
Last column: nearest neighbours and their distance in Å.
Fractional positions:
Pm 0.0000 0.0000 0.0000  8 Mg 3.38-3.56, 4 Tl 3.44, 2 Pm 3.57
Pm 0.3372 0.3372 0.3280  8 Mg 3.36-3.51, 4 Tl 3.38-3.57, 2 Pm 3.55-3.57
Pm 0.6628 0.6628 0.6720  8 Mg 3.36-3.51, 4 Tl 3.38-3.57, 2 Pm 3.55-3.57
Mg 0.0748 0.0748 0.4055  2 Tl 2.96, 1 Mg 3.04
Mg 0.2881 0.2881 0.9541  1 Tl 2.94, 2 Mg 2.96
Mg 0.7119 0.7119 0.0459  1 Tl 2.94, 2 Mg 2.96
Mg 0.9252 0.9252 0.5945  2 Tl 2.96, 1 Mg 3.04
Tl 0.3897 0.3897 0.7253  3 Mg 2.94-2.96
Tl 0.6103 0.6103 0.2747  3 Mg 2.94-2.96

A plane-wave DFT calculation with PBE was carried out for a relaxed Pm2MgTl crystal.

Space group ... P4/mmm, No. 123
DOS at the Fermi energy ... 4.100 states/eV per cell
Calculated formation energy ... -0.2549 eV per atom
M_tot ... 0.00 μB/cell
ΔE to the lowest computed polymorph ... 0.02 eV per formula unit

Cell lengths 5.1593, 5.1593, 4.3224 Å; angles 90.00, 90.00, 90.00 degrees
Last column: nearest neighbours and their distance in Å.
Fractional positions:
Pm 0.0000 0.5000 0.0000  4 Tl 3.37, 4 Mg 3.37, 4 Pm 3.65
Pm 0.5000 0.0000 0.0000  4 Tl 3.37, 4 Mg 3.37, 4 Pm 3.65
Mg 0.0000 0.0000 0.5000  8 Pm 3.37, 4 Tl 3.65
Tl 0.5000 0.5000 0.5000  8 Pm 3.37, 4 Mg 3.65